The following is a PBE-GGA calculation of crystalline CuAgTeCl at its relaxed geometry, from Alexandria via LeMat-Bulk.

Calculated values
**DOS at the Fermi energy**: 0.415 states/eV/atom
**Symmetry**: No. 166
**Uncorrected formation energy**: -0.2111 eV/atom
**Total moment**: 0.00 μB/f.u.
**Raw total energy**: -3.195 eV/atom

Lattice parameters (Å, degrees): 3.913 3.913 14.407 82.19 82.19 60.00
Fractional coordinates of all 8 atoms:
Cu1 0.744 0.744 0.767
Cu2 0.256 0.256 0.233
Ag1 0.500 0.500 0.500
Ag2 0.000 0.000 0.000
Te1 0.380 0.380 0.860
Te2 0.620 0.620 0.140
Cl1 0.797 0.797 0.610
Cl2 0.203 0.203 0.390


The following is a PBE-GGA calculation of crystalline Au2BrO at its relaxed geometry, from Alexandria via LeMat-Bulk.

Calculated values
**DOS at the Fermi energy**: 0.725 states/eV/atom
**Symmetry**: No. 122
**Uncorrected formation energy**: 0.2313 eV/atom
**Total moment**: 0.00 μB/f.u.
**Raw total energy**: -3.065 eV/atom
**E above lowest polymorph**: 0.00 eV per formula unit

Lattice parameters (Å, degrees): 5.291 5.291 7.438 69.16 69.16 90.00
Fractional coordinates of all 8 atoms:
Au1 0.295 0.625 0.250
Au2 0.875 0.705 0.750
Au3 0.455 0.125 0.250
Au4 0.375 0.545 0.750
O1 0.500 0.500 0.000
O2 0.250 0.750 0.500
Br1 0.000 0.000 0.000
Br2 0.750 0.250 0.500


The following is a PBE-GGA calculation of crystalline CsY3As at its relaxed geometry, from Alexandria via LeMat-Bulk.

Calculated values
**DFT formation energy**: 1.348 eV per atom
**DOS at the Fermi energy**: 1.129 states/eV/atom
**Symmetry**: No. 221
**Total moment**: 0.00 μB/f.u.
**Raw total energy**: -3.631 eV/atom
**E above lowest polymorph**: 6.75 eV per formula unit

Lattice parameters (Å, degrees): 5.552 5.552 5.552 90.00 90.00 90.00
Fractional coordinates of all 5 atoms:
As1 0.500 0.500 0.500
Y1 0.000 0.500 0.000
Y2 0.500 0.000 0.000
Y3 0.000 0.000 0.500
Cs1 0.000 0.000 0.000


The following is a PBE-GGA calculation of crystalline Y3Hg4 at its relaxed geometry, from Alexandria via LeMat-Bulk.

Calculated values
**DFT formation energy**: -0.097 eV per atom
**DOS at the Fermi energy**: 0.683 states/eV/atom
**Symmetry**: No. 191
**Total moment**: 0.00 μB/f.u.
**Raw total energy**: -3.040 eV/atom
**E above lowest polymorph**: 1.80 eV per formula unit

Lattice parameters (Å, degrees): 6.532 6.532 5.425 90.00 90.00 120.00
Fractional coordinates of all 7 atoms:
Hg1 0.000 0.000 0.252
Hg2 0.000 0.000 0.748
Hg3 0.667 0.333 0.500
Hg4 0.333 0.667 0.500
Y1 0.500 0.500 0.000
Y2 0.000 0.500 0.000
Y3 0.500 0.000 0.000


The following is a PBE-GGA calculation of crystalline ZrPaWC3 at its relaxed geometry, from Alexandria via LeMat-Bulk.

Calculated values
**DFT formation energy**: -0.094 eV per atom
**DOS at the Fermi energy**: 0.575 states/eV/atom
**Symmetry**: No. 11
**Total moment**: 0.00 μB/f.u.
**Raw total energy**: -9.872 eV/atom

Lattice parameters (Å, degrees): 3.318 7.129 7.970 96.17 90.00 90.00
Fractional coordinates of all 12 atoms:
Pa1 0.750 0.845 0.823
Pa2 0.250 0.155 0.177
C1 0.250 0.600 0.859
C2 0.250 0.823 0.553
C3 0.750 0.177 0.447
C4 0.250 0.125 0.857
C5 0.750 0.400 0.141
C6 0.750 0.875 0.143
Zr1 0.250 0.632 0.138
Zr2 0.750 0.368 0.862
W1 0.250 0.124 0.591
W2 0.750 0.876 0.409


The following is a PBE-GGA calculation of crystalline Ho7Tm2Th at its relaxed geometry, from Alexandria via LeMat-Bulk.

Calculated values
**DFT formation energy**: 0.733 eV per atom
**DOS at the Fermi energy**: 1.730 states/eV/atom
**Symmetry**: No. 65
**Total moment**: 0.00 μB/f.u.
**Raw total energy**: -4.108 eV/atom

Lattice parameters (Å, degrees): 5.316 9.382 9.382 124.71 90.00 90.00
Fractional coordinates of all 10 atoms:
Ho1 0.500 0.713 0.934
Ho2 0.000 0.201 0.799
Ho3 0.500 0.934 0.713
Ho4 0.500 0.500 0.500
Ho5 0.000 0.799 0.201
Ho6 0.500 0.066 0.287
Ho7 0.500 0.287 0.066
Th1 0.000 0.000 0.000
Tm1 0.500 0.702 0.298
Tm2 0.500 0.298 0.702


The following is a PBE-GGA calculation of crystalline SmMgZn at its relaxed geometry, from Alexandria via LeMat-Bulk.

Calculated values
**DFT formation energy**: -0.152 eV per atom
**DOS at the Fermi energy**: 1.087 states/eV/atom
**Symmetry**: No. 107
**Total moment**: 0.00 μB/f.u.
**Raw total energy**: -2.682 eV/atom

Lattice parameters (Å, degrees): 3.383 3.383 6.630 104.78 104.78 90.00
Fractional coordinates of all 3 atoms:
Sm1 0.935 0.935 0.871
Mg1 0.641 0.641 0.282
Zn1 0.274 0.274 0.547


The following is a PBE-GGA calculation of crystalline Li4TbHg at its relaxed geometry, from Alexandria via LeMat-Bulk.

Calculated values
**DFT formation energy**: -0.108 eV per atom
**DOS at the Fermi energy**: 0.470 states/eV/atom
**Symmetry**: No. 216
**Total moment**: 0.00 μB/f.u.
**Raw total energy**: -2.206 eV/atom

Lattice parameters (Å, degrees): 5.438 5.438 5.438 60.00 60.00 60.00
Fractional coordinates of all 6 atoms:
Tb1 0.250 0.250 0.250
Li1 0.119 0.627 0.627
Li2 0.627 0.627 0.119
Li3 0.627 0.119 0.627
Li4 0.627 0.627 0.627
Hg1 0.000 0.000 0.000